Version one
Rb2Ge2Se5 | PBE | optimized geometry

a b c (Å): 4.984 7.047 9.414
angles (deg): 103.09 90.00 110.71
Fractional coordinates of all 9 atoms:
Rb  0.410  0.821  0.657
Rb  0.590  0.179  0.343
Ge  0.164  0.328  0.888
Ge  0.836  0.672  0.112
Se  0.357  0.714  0.021
Se  0.643  0.286  0.979
Se  0.123  0.245  0.634
Se  0.877  0.755  0.366
Se  0.000  0.000  0.000

- Symmetry: No. 12

---

Version two
Rb2Ge2Se5 | PBE | optimized geometry

a b c (Å): 12.219 12.219 9.128
angles (deg): 89.88 89.88 90.00
Fractional coordinates of all 36 atoms:
Rb  0.750  0.543  0.068
Rb  0.457  0.250  0.432
Rb  0.250  0.457  0.932
Rb  0.543  0.750  0.568
Rb  0.043  0.249  0.431
Rb  0.751  0.957  0.069
Rb  0.957  0.751  0.569
Rb  0.249  0.043  0.931
Ge  0.749  0.412  0.602
Ge  0.588  0.251  0.898
Ge  0.251  0.588  0.398
Ge  0.412  0.749  0.102
Ge  0.090  0.749  0.102
Ge  0.251  0.910  0.398
Ge  0.910  0.251  0.898
Ge  0.749  0.090  0.602
Se  0.913  0.415  0.750
Se  0.585  0.087  0.750
Se  0.087  0.585  0.250
Se  0.415  0.913  0.250
Se  0.250  0.749  0.555
Se  0.251  0.750  0.945
Se  0.750  0.251  0.445
Se  0.749  0.250  0.055
Se  0.750  0.566  0.457
Se  0.434  0.250  0.043
Se  0.250  0.434  0.543
Se  0.566  0.750  0.957
Se  0.064  0.250  0.042
Se  0.750  0.936  0.458
Se  0.936  0.750  0.958
Se  0.250  0.064  0.542
Se  0.913  0.087  0.750
Se  0.087  0.913  0.250
Se  0.585  0.415  0.750
Se  0.415  0.585  0.250

- Symmetry: No. 15

---

Name the least stable of them. version one.

---

Version one
Rb3GeSe | PBE | optimized geometry

a b c (Å): 6.592 6.592 6.592
angles (deg): 90.00 90.00 90.00
Last column: magnetic moment on the atom in μB.
Fractional coordinates of all 5 atoms:
Ge  0.500  0.500  0.500  0.87
Se  0.000  0.000  0.000  0.06
Rb  0.000  0.500  0.000  0.01
Rb  0.000  0.000  0.500  0.01
Rb  0.500  0.000  0.000  0.01

- Symmetry: No. 221

---

Version two
Rb3GeSe | PBE | optimized geometry

a b c (Å): 4.443 9.199 10.837
angles (deg): 96.82 89.98 103.97
Fractional coordinates of all 10 atoms:
Rb  0.075  0.180  0.352
Rb  0.427  0.890  0.593
Rb  0.614  0.264  0.828
Rb  0.971  0.973  0.069
Rb  0.261  0.553  0.057
Rb  0.785  0.600  0.364
Ge  0.234  0.504  0.690
Ge  0.807  0.651  0.733
Se  0.415  0.860  0.290
Se  0.631  0.293  0.131

- Symmetry: No. 1

---

Name the least stable of them. version one.

---

Version one
Rb3GeSe3 | PBE | optimized geometry

a b c (Å): 7.391 10.917 13.850
angles (deg): 90.00 90.00 109.79
Fractional coordinates of all 28 atoms:
Rb  0.659  0.000  0.841
Rb  0.841  0.000  0.341
Rb  0.159  0.000  0.659
Rb  0.341  0.000  0.159
Rb  0.985  0.648  0.371
Rb  0.515  0.352  0.871
Rb  0.837  0.352  0.129
Rb  0.663  0.648  0.629
Rb  0.015  0.352  0.629
Rb  0.485  0.648  0.129
Rb  0.163  0.648  0.871
Rb  0.337  0.352  0.371
Ge  0.418  0.835  0.500
Ge  0.082  0.165  0.000
Ge  0.582  0.165  0.500
Ge  0.918  0.835  0.000
Se  0.216  0.000  0.908
Se  0.284  0.000  0.408
Se  0.716  0.000  0.592
Se  0.784  0.000  0.092
Se  0.513  0.694  0.386
Se  0.987  0.306  0.886
Se  0.319  0.306  0.114
Se  0.181  0.694  0.614
Se  0.487  0.306  0.614
Se  0.013  0.694  0.114
Se  0.681  0.694  0.886
Se  0.819  0.306  0.386

- Symmetry: No. 64

---

Version two
Rb3GeSe3 | PBE | optimized geometry

a b c (Å): 6.931 10.534 10.534
angles (deg): 119.85 90.00 90.00
Fractional coordinates of all 14 atoms:
Rb  0.250  0.642  0.821
Rb  0.250  0.179  0.358
Rb  0.250  0.179  0.822
Rb  0.750  0.358  0.179
Rb  0.750  0.821  0.642
Rb  0.750  0.821  0.178
Ge  0.750  0.333  0.667
Ge  0.250  0.667  0.333
Se  0.750  0.599  0.799
Se  0.750  0.200  0.401
Se  0.750  0.200  0.801
Se  0.250  0.401  0.201
Se  0.250  0.800  0.599
Se  0.250  0.800  0.199

- Symmetry: No. 63

---

Name the least stable of them. version two.

---

Version one
Rb2GeSe | PBE | optimized geometry

a b c (Å): 12.849 12.849 9.462
angles (deg): 47.24 47.24 90.00
Fractional coordinates of all 8 atoms:
Ge  0.500  0.500  0.000
Ge  0.250  0.750  0.500
Se  0.000  0.000  0.000
Se  0.750  0.250  0.500
Rb  0.819  0.125  0.250
Rb  0.931  0.625  0.250
Rb  0.375  0.181  0.750
Rb  0.875  0.069  0.750

- Symmetry: No. 122

---

Version two
Rb2GeSe | PBE | optimized geometry

a b c (Å): 5.920 5.920 5.920
angles (deg): 60.00 60.00 60.00
Last column: magnetic moment on the atom in μB.
Fractional coordinates of all 4 atoms:
Ge  0.000  0.000  0.000  0.74
Se  0.500  0.500  0.500  -0.03
Rb  0.250  0.250  0.250  0.03
Rb  0.750  0.750  0.750  0.03

- Symmetry: No. 225

---

Name the least stable of them. version two.

---

Version one
RbSi2Ge2 | PBE | optimized geometry

a b c (Å): 8.590 8.590 3.525
angles (deg): 90.00 90.00 90.00
Fractional coordinates of all 10 atoms:
Ge  0.122  0.622  0.500
Ge  0.622  0.878  0.500
Ge  0.878  0.378  0.500
Ge  0.378  0.122  0.500
Si  0.395  0.895  0.000
Si  0.895  0.605  0.000
Si  0.605  0.105  0.000
Si  0.105  0.395  0.000
Rb  0.000  0.000  0.000
Rb  0.500  0.500  0.000

- Symmetry: No. 127

---

Version two
RbSi2Ge2 | PBE | optimized geometry

a b c (Å): 4.121 4.121 8.209
angles (deg): 75.46 75.46 90.00
Fractional coordinates of all 5 atoms:
Ge  0.350  0.350  0.301
Ge  0.650  0.650  0.699
Si  0.750  0.250  0.500
Si  0.250  0.750  0.500
Rb  0.000  0.000  0.000

- Symmetry: No. 139

---

Name the least stable of them. version one.

---

Version one
Rb3SiGe | PBE | optimized geometry

a b c (Å): 9.007 9.007 8.418
angles (deg): 114.07 119.84 98.84
Fractional coordinates of all 10 atoms:
Rb  0.805  0.038  0.243
Rb  0.205  0.438  0.243
Rb  0.795  0.562  0.757
Rb  0.707  0.460  0.167
Rb  0.195  0.962  0.757
Rb  0.293  0.540  0.833
Si  0.626  0.085  0.711
Si  0.374  0.915  0.289
Ge  0.629  0.832  0.461
Ge  0.371  0.168  0.539

- Symmetry: No. 12

---

Version two
Rb3SiGe | PBE | optimized geometry

a b c (Å): 6.752 6.752 6.752
angles (deg): 90.00 90.00 90.00
Last column: magnetic moment on the atom in μB.
Fractional coordinates of all 5 atoms:
Ge  0.500  0.500  0.500  0.82
Si  0.000  0.000  0.000  0.52
Rb  0.000  0.500  0.000  0.04
Rb  0.000  0.000  0.500  0.05
Rb  0.500  0.000  0.000  0.03

- Symmetry: No. 221

---

Name the least stable of them. version two.

---

Version one
RbSnGe | PBE | optimized geometry

a b c (Å): 6.151 4.467 4.467
angles (deg): 120.00 90.00 90.00
Fractional coordinates of all 3 atoms:
Ge  0.246  0.333  0.667
Sn  0.101  0.000  0.000
Rb  0.653  0.667  0.333

- Symmetry: No. 156

---

Version two
RbSnGe | PBE | optimized geometry

a b c (Å): 4.949 5.791 8.481
angles (deg): 109.97 90.00 90.00
Fractional coordinates of all 6 atoms:
Rb  0.000  0.157  0.314
Rb  0.000  0.843  0.686
Sn  0.500  0.634  0.267
Sn  0.500  0.366  0.733
Ge  0.500  0.788  0.000
Ge  0.500  0.212  0.000

- Symmetry: No. 65

---

Name the least stable of them. version two.

---

Version one
RbSn3Ge | PBE | optimized geometry

a b c (Å): 5.983 5.983 5.983
angles (deg): 90.00 90.00 90.00
Fractional coordinates of all 5 atoms:
Ge  0.500  0.500  0.500
Sn  0.000  0.500  0.000
Sn  0.000  0.000  0.500
Sn  0.500  0.000  0.000
Rb  0.000  0.000  0.000

- Symmetry: No. 221

---

Version two
RbSn3Ge | PBE | optimized geometry

a b c (Å): 8.902 6.587 7.688
angles (deg): 115.37 107.62 90.00
Fractional coordinates of all 10 atoms:
Rb  0.333  0.284  0.568
Rb  0.667  0.716  0.432
Sn  0.729  0.707  0.944
Sn  0.729  0.237  0.944
Sn  0.126  0.840  0.680
Sn  0.874  0.160  0.320
Sn  0.271  0.763  0.056
Sn  0.271  0.293  0.056
Ge  0.000  0.000  0.000
Ge  0.500  0.000  0.000

- Symmetry: No. 12

---

Version three
RbSn3Ge | PBE | optimized geometry

a b c (Å): 5.580 5.580 5.580
angles (deg): 90.00 90.00 90.00
Fractional coordinates of all 5 atoms:
Ge  0.000  0.000  0.000
Sn  0.000  0.500  0.000
Sn  0.000  0.000  0.500
Sn  0.500  0.000  0.000
Rb  0.500  0.500  0.500

- Symmetry: No. 221

---

Version four
RbSn3Ge | PBE | optimized geometry

a b c (Å): 5.093 5.089 7.164
angles (deg): 69.90 70.00 89.81
Fractional coordinates of all 5 atoms:
Rb  0.400  0.204  0.901
Sn  0.648  0.949  0.414
Sn  0.145  0.451  0.414
Sn  0.779  0.583  0.138
Ge  0.036  0.838  0.645

- Symmetry: No. 1

---

Name the least stable of them. version one.